1.
DFT (PBE) results for an optimized crystal structure of KNaTaBr6.

abc: 7.3743 7.3743 13.9046
angles: 90.00 90.00 120.00
Space group P-31c (No. 163)
Inequivalent atoms, fractional coordinates:
K  0.0000  0.0000  0.0000 x2
Na  0.3333  0.6667  0.2500 x2
Ta  0.3333  0.6667  0.7500 x2
Br  0.0414  0.3880  0.6417 x12

- formation energy without anion corrections (eV/atom) = -1.19
- crystal system = trigonal
- total magnetic moment (Bohr magnetons per cell) = 2.0
- V (Å³/cell) = 654.8
- energy (eV per cell) = -70.0

2.
DFT (PBE) results for an optimized crystal structure of KNa2TaBr8.

abc: 6.7512 7.7556 9.7259
angles: 111.87 91.87 99.81
Space group P-1 (No. 2)
Inequivalent atoms, fractional coordinates:
K  0.0000  0.0000  0.0000 x1
Na  0.4768  0.3225  0.8063 x2
Ta  0.0000  0.0000  0.5000 x1
Br  0.1004  0.7804  0.2521 x2
Br  0.2446  0.8992  0.6442 x2
Br  0.2707  0.2697  0.5031 x2
Br  0.4307  0.2810  0.0786 x2

- formation energy without anion corrections (eV/atom) = -1.21
- crystal system = triclinic
- total magnetic moment (Bohr magnetons per cell) = 0.0
- V (Å³/cell) = 463.1
- energy (eV per cell) = -43.5

3.
DFT (PBE) results for an optimized crystal structure of KNa2TbBr6.

abc: 7.6060 7.6060 20.7706
angles: 90.00 90.00 120.00
Space group R3 (No. 146, hexagonal axes)
Inequivalent atoms, fractional coordinates:
K  0.0000  0.0000  0.0000 x3
Na  0.0000  0.0000  0.2906 x3
Na  0.0000  0.0000  0.8032 x3
Tb  0.0000  0.0000  0.4845 x3
Br  0.0094  0.3552  0.2221 x9
Br  0.0279  0.6277  0.0638 x9

- formation energy without anion corrections (eV/atom) = -1.73
- crystal system = trigonal
- total magnetic moment (Bohr magnetons per cell) = 0.0
- V (Å³/cell) = 1040.7
- energy (eV per cell) = -107.1

4.
DFT (PBE) results for an optimized crystal structure of K2NaTbBr6.

abc: 7.7329 8.1361 13.3443
angles: 90.00 124.33 90.00
Space group P2_1/c (No. 14)
Inequivalent atoms, fractional coordinates:
K  0.2181  0.0770  0.2453 x4
Na  0.0000  0.0000  0.5000 x2
Tb  0.5000  0.0000  0.0000 x2
Br  0.1524  0.1911  0.9468 x4
Br  0.2578  0.7106  0.9425 x4
Br  0.3678  0.0316  0.7563 x4

- formation energy without anion corrections (eV/atom) = -1.79
- crystal system = monoclinic
- total magnetic moment (Bohr magnetons per cell) = 0.0
- V (Å³/cell) = 693.3
- energy (eV per cell) = -72.1

5.
DFT (PBE) results for an optimized crystal structure of KNaTcBr6.

abc: 7.3452 7.3452 13.7164
angles: 90.00 90.00 120.00
Space group P-31c (No. 163)
Inequivalent atoms, fractional coordinates:
K  0.0000  0.0000  0.0000 x2
Na  0.3333  0.6667  0.2500 x2
Tc  0.3333  0.6667  0.7500 x2
Br  0.0456  0.3928  0.6420 x12

- formation energy without anion corrections (eV/atom) = -0.95
- crystal system = trigonal
- total magnetic moment (Bohr magnetons per cell) = 6.0
- V (Å³/cell) = 640.9
- energy (eV per cell) = -62.8

6.
DFT (PBE) results for an optimized crystal structure of K2NaTcBr6.

abc: 7.5113 7.5113 41.2366
angles: 90.00 90.00 120.00
Space group R-3m (No. 166, hexagonal axes)
Inequivalent atoms, fractional coordinates:
K  0.0000  0.0000  0.1373 x6
K  0.0000  0.0000  0.3065 x6
Na  0.0000  0.0000  0.4158 x6
Tc  0.0000  0.0000  0.0000 x3
Tc  0.0000  0.0000  0.5000 x3
Br  0.0090  0.5045  0.1308 x18
Br  0.0133  0.5067  0.7029 x18

- formation energy without anion corrections (eV/atom) = -1.09
- crystal system = trigonal
- total magnetic moment (Bohr magnetons per cell) = 12.0
- V (Å³/cell) = 2014.8
- energy (eV per cell) = -209.1